Entry 1:
Computed, not measured: crystalline CsCdSe3 at its relaxed geometry at the PBE level of DFT.

Its energy above the most stable polymorph in this dataset is 1.141 eV per atom. Its total energy is -1.483 eV/atom.

Cell lengths 6.170, 6.170, 6.170 Å; angles 90.00, 90.00, 90.00 degrees
Last column: magnetic moment on the atom in μB.
Atoms (fractional coordinates):
Se (0.000, 0.500, 0.000)  0.67
Se (0.000, 0.000, 0.500)  0.61
Se (0.500, 0.000, 0.000)  0.51
Cs (0.000, 0.000, 0.000)  0.04
Cd (0.500, 0.500, 0.500)  0.19

Entry 2:
Computed, not measured: crystalline Rb2ZrMo2 at its relaxed geometry at the PBE level of DFT.

Its energy above the most stable polymorph in this dataset is 0.842 eV per atom. The calculated formation energy is 2.107 eV/atom. Its total energy is -4.323 eV/atom.

Cell lengths 9.907, 9.907, 2.787 Å; angles 90.00, 90.00, 90.00 degrees
Last column: magnetic moment on the atom in μB.
Atoms (fractional coordinates):
Rb (0.614, 0.114, 0.000)  0.06
Rb (0.386, 0.886, 0.000)  0.06
Rb (0.886, 0.614, 0.000)  0.06
Rb (0.114, 0.386, 0.000)  0.06
Mo (0.809, 0.309, 0.500)  1.53
Mo (0.691, 0.809, 0.500)  1.53
Mo (0.191, 0.691, 0.500)  1.53
Mo (0.309, 0.191, 0.500)  1.53
Zr (0.000, 0.000, 0.000)  -0.34
Zr (0.500, 0.500, 0.000)  -0.34

Entry 3:
Computed, not measured: crystalline K2CaSn at its relaxed geometry at the PBE level of DFT.

The calculated formation energy is 0.011 eV/atom. Its total energy is -2.039 eV/atom.

Cell lengths 12.212, 12.212, 9.164 Å; angles 48.22, 48.22, 90.00 degrees
Atoms (fractional coordinates):
K (0.749, 0.125, 0.250)
K (0.001, 0.625, 0.250)
K (0.375, 0.251, 0.750)
K (0.875, 0.999, 0.750)
Sn (0.750, 0.250, 0.500)
Sn (0.000, 0.000, 0.000)
Ca (0.500, 0.500, 0.000)
Ca (0.250, 0.750, 0.500)

Entry 4:
Computed, not measured: crystalline TcSb2Rh at its relaxed geometry at the PBE level of DFT.

Its energy above the most stable polymorph in this dataset is 0.297 eV per atom. Its total energy is -6.261 eV/atom.

Cell lengths 10.533, 10.533, 10.533 Å; angles 16.95, 16.95, 16.95 degrees
Atoms (fractional coordinates):
Sb (0.226, 0.226, 0.226)
Sb (0.025, 0.025, 0.025)
Tc (0.493, 0.493, 0.493)
Rh (0.757, 0.757, 0.757)